[1]
Entry from the Alexandria database: a geometry-optimized NaNbCd structure (PBE).

a b c (Å): 5.2578 5.2578 2.7525
angles (deg): 90.00 90.00 120.00
Closest atoms and distances in Å follow each position.
Space group P-6m2 (No. 187)
Symmetry-distinct sites (fractional):
Na  0.0000  0.0000  0.0000  2 Na 2.75
Nb  0.6667  0.3333  0.5000  2 Nb 2.75, 3 Cd 3.04
Cd  0.3333  0.6667  0.5000  2 Cd 2.75, 3 Nb 3.04

Output
Total moment ... 1.05 μB/f.u.

=====

[2]
Entry from the Alexandria database: a geometry-optimized NaNbCd structure (PBE).

a b c (Å): 5.2862 5.2862 5.6868
angles (deg): 90.00 90.00 120.00
Closest atoms and distances in Å follow each position.
Space group P-6m2 (No. 187)
Symmetry-distinct sites (fractional):
Na  0.0000  0.0000  0.0000  2 Na 2.84
Na  0.0000  0.0000  0.5000  2 Na 2.84
Nb  0.3333  0.6667  0.2012  1 Nb 2.29
Cd  0.6667  0.3333  0.2489  2 Cd 2.83-2.86, 3 Nb 3.06

Output
Total moment ... 0.00 μB/f.u.

=====

[3]
Entry from the Alexandria database: a geometry-optimized NaNbCd structure (PBE).

a b c (Å): 2.9488 5.0584 9.3546
angles (deg): 81.83 84.04 76.75
Closest atoms and distances in Å follow each position.
Space group P1 (No. 1)
Symmetry-distinct sites (fractional):
Na  0.0000  0.0000  0.0000  3 Na 2.95-3.11, 3 Cd 3.00-3.16
Na  0.3116  0.5414  0.7989  3 Na 2.95-3.11, 3 Cd 3.00-3.15
Nb  0.0823  0.5312  0.4398  2 Nb 2.56-2.77
Nb  0.2353  0.0100  0.3591  2 Nb 2.56-2.77
Cd  0.6577  0.4863  0.1625  2 Cd 2.95, 4 Nb 2.96-3.22, 3 Na 3.00-3.16
Cd  0.6598  0.0552  0.6365  2 Cd 2.95, 4 Nb 2.96-3.22, 3 Na 3.00-3.15

Output
Total moment ... 0.00 μB/f.u.

=====

[4]
Entry from the Alexandria database: a geometry-optimized NaNbCd structure (PBE).

a b c (Å): 3.0153 5.5015 8.0967
angles (deg): 99.46 92.27 90.21
Closest atoms and distances in Å follow each position.
Space group P-1 (No. 2)
Symmetry-distinct sites (fractional):
Na  0.2315  0.2477  0.0047  6 Na 3.02-3.22, 3 Cd 3.20-3.22
Nb  0.2950  0.0217  0.3694  1 Nb 2.45
Cd  0.2375  0.4801  0.6657  4 Cd 3.02-3.21, 5 Nb 3.08-3.23, 3 Na 3.20-3.22

Output
Total moment ... 0.00 μB/f.u.

=====

[5]
Entry from the Alexandria database: a geometry-optimized NaNbCd3 structure (PBE).

a b c (Å): 5.5512 5.5512 5.5512
angles (deg): 90.00 90.00 90.00
Closest atoms and distances in Å follow each position.
Space group Pm-3m (No. 221)
Symmetry-distinct sites (fractional):
Na  0.0000  0.0000  0.0000  12 Cd 3.93
Nb  0.5000  0.5000  0.5000  6 Cd 2.78
Cd  0.0000  0.5000  0.5000  2 Nb 2.78

Output
Total moment ... 3.02 μB/f.u.

=====

[6]
Entry from the Alexandria database: a geometry-optimized NaNbCd structure (PBE).

a b c (Å): 2.8352 6.1699 7.6596
angles (deg): 98.28 98.31 98.00
Closest atoms and distances in Å follow each position.
Space group P1 (No. 1)
Symmetry-distinct sites (fractional):
Na  0.0000  0.0000  0.0000  2 Na 2.84, 2 Cd 3.08-3.11
Na  0.4091  0.1595  0.6665  2 Na 2.84, 2 Cd 2.87-3.01, 1 Nb 3.17
Nb  0.0881  0.4010  0.3323  3 Nb 2.53-2.84
Nb  0.9446  0.6268  0.6174  3 Nb 2.53-2.84
Cd  0.4840  0.5178  0.9857  2 Cd 2.84, 2 Na 3.01-3.11, 1 Nb 3.16
Cd  0.5555  0.8951  0.3450  2 Cd 2.84, 2 Na 2.87-3.08, 2 Nb 3.02-3.13

Output
Total moment ... 0.00 μB/f.u.

=====

Number 1: polymorph energy (0 for the lowest one) 612 meV/atom, E -3.393 eV per atom, ΔE_f 0.71 eV per atom. Number 2: polymorph energy (0 for the lowest one) 572 meV/atom, E -3.433 eV per atom, ΔE_f 0.67 eV per atom. Number 3: polymorph energy (0 for the lowest one) 163 meV/atom, E -3.842 eV per atom, ΔE_f 0.26 eV per atom. Number 4: polymorph energy (0 for the lowest one) 212 meV/atom, E -3.793 eV per atom, ΔE_f 0.31 eV per atom. Number 5: polymorph energy (0 for the lowest one) 0 meV/atom, E -2.131 eV per atom, ΔE_f 0.70 eV per atom. Number 6: polymorph energy (0 for the lowest one) 249 meV/atom, E -3.756 eV per atom, ΔE_f 0.35 eV per atom.